1.
Compound: HgMoBr2
Source: Alexandria
Functional: PBE
Structure: relaxed

Properties
* ΔE to the lowest computed polymorph: 754 meV/atom
* total DFT energy (no corrections): -2.90 eV/atom
* formation energy without anion corrections: 2.88 eV/f.u.
* size of the total moment: 0.998 μB/atom

a b c (Å): 5.192 5.192 5.192
angles (deg): 60.00 60.00 60.00
Last column: magnetic moment on the atom in μB.
Fractional positions:
Mo  0.750  0.750  0.750  3.46
Hg  0.500  0.500  0.500  -0.04
Br  0.000  0.000  0.000  -0.04
Br  0.250  0.250  0.250  -0.03

=====

2.
Compound: YFeRu2
Source: Alexandria
Functional: PBE
Structure: relaxed

Properties
* ΔE to the lowest computed polymorph: 131 meV/atom
* total DFT energy (no corrections): -8.17 eV/atom
* size of the total moment: 0.510 μB/atom
* ΔH_f (0 K): 0.81 eV/f.u.

a b c (Å): 4.234 2.980 5.504
angles (deg): 74.41 90.00 90.00
Last column: magnetic moment on the atom in μB.
Fractional positions:
Fe  0.500  0.919  0.787  2.21
Ru  0.500  0.223  0.181  -0.17
Ru  0.000  0.809  0.009  0.11
Y  0.000  0.550  0.523  -0.09

=====

3.
Compound: FePb2Br
Source: Alexandria
Functional: PBE
Structure: relaxed

Properties
* ΔE to the lowest computed polymorph: 330 meV/atom
* total DFT energy (no corrections): -3.97 eV/atom
* formation energy without anion corrections: 1.68 eV/f.u.
* size of the total moment: 0.822 μB/atom

a b c (Å): 3.446 5.957 5.188
angles (deg): 90.00 90.00 90.00
Last column: magnetic moment on the atom in μB.
Fractional positions:
Pb  0.500  0.500  0.000  -0.04
Pb  0.000  0.000  0.000  -0.01
Fe  0.000  0.500  0.500  3.17
Br  0.500  0.000  0.500  0.04

=====

4.
Compound: ThPaTe4
Source: Alexandria
Functional: PBE
Structure: relaxed

Properties
* ΔE to the lowest computed polymorph: 0 meV/atom
* total DFT energy (no corrections): -5.92 eV/atom
* formation energy without anion corrections: -6.03 eV/f.u.
* size of the total moment: 0.077 μB/atom

a b c (Å): 4.064 4.064 10.148
angles (deg): 90.00 90.00 90.00
Last column: magnetic moment on the atom in μB.
Fractional positions:
Pa  0.000  0.000  0.000  0.47
Te  0.500  0.500  0.155  -0.02
Te  0.000  0.000  0.661  -0.01
Te  0.500  0.500  0.845  -0.02
Te  0.000  0.000  0.339  -0.01
Th  0.500  0.500  0.500  -0.01

=====

5.
Compound: Hf2Co5Ge4
Source: Alexandria
Functional: PBE
Structure: relaxed

Properties
* total DFT energy (no corrections): -7.03 eV/atom
* size of the total moment: 0.000 μB/atom
* ΔH_f (0 K): -3.37 eV/f.u.

a b c (Å): 5.141 5.088 7.539
angles (deg): 80.08 70.06 59.65
Fractional positions:
Co  0.750  0.500  0.500
Co  0.500  0.500  0.000
Co  0.250  0.500  0.500
Co  0.500  0.000  0.000
Co  0.000  0.500  0.000
Hf  0.880  0.000  0.241
Hf  0.120  0.000  0.759
Ge  0.477  0.310  0.736
Ge  0.787  0.690  0.736
Ge  0.523  0.690  0.264
Ge  0.213  0.310  0.264